Here is an optimized crystal structure of Dy4InNi from the Alexandria database. Energies are from PBE.

It has space group F-43m (No. 216), with a = 13.563 Å, b = 13.563 Å, c = 13.563 Å, α = 90.00°, β = 90.00° and γ = 90.00°. The inequivalent atoms are Dy at (0.000, 0.000, 0.187), Dy at (0.062, 0.250, 0.750), Dy at (0.098, 0.098, 0.402), In at (0.168, 0.168, 0.168) and Ni at (0.107, 0.107, 0.607).

The value obtained for the total energy is -465.66 eV/cell. For the energy above the lowest structure with this stoichiometry, the calculation gives 0.000 eV/f.u. The theoretical density comes out at 8.769 g/cm3. The value obtained for the energy of formation is -8.36 kcal/mol of atoms. For the density of states at the Fermi level, the calculation gives 4.9 states/eV/f.u.